(1)
DFT (PBE) results for a relaxed CdAgPd6 crystal.

The structure in POSCAR format:
```
CdAgPd6
1.0
4.015 0.000 0.000
0.000 4.015 0.000
0.000 0.000 8.012
Pd Ag Cd
6 1 1
direct
0.500 0.500 0.000
0.500 0.000 0.752
0.000 0.500 0.248
0.500 0.000 0.248
0.500 0.500 0.500
0.000 0.500 0.752
0.000 0.000 0.000
0.000 0.000 0.500
```

Its space group is P4/mmm.



(2)
DFT (PBE) results for a relaxed AlAg3Mo crystal.

The structure in POSCAR format:
```
AlAg3Mo
1.0
-1.367 1.662 4.632
-4.918 -0.625 -1.227
0.168 -4.788 1.768
Ag Mo Al
3 1 1
direct
0.000 0.000 0.500
0.000 0.500 0.000
0.500 0.000 0.000
0.000 0.000 0.000
0.500 0.500 0.500
```

Its space group is Pm-3m.



The records above give, respectively, formation enthalpy at 0 K values of -0.119, 1.609 eV/atom.
The records above give, respectively, VASP energy values of -4.48, -3.02 eV/atom.
The records above give, respectively, DOS(E_F) values of 1.45, 1.27 states/eV/atom.